No. 1
This record from the Alexandria database describes an optimized crystal structure of La4SiN2. The functional is PBE-GGA.

a b c (Å): 7.2773 7.2773 7.2773
angles (deg): 133.78 133.78 67.44
With the nearest neighbours (Å) after each atom.
Element x y z (fractional)
La (0.0000, 0.5000, 0.5000)  2 Si 2.86, 4 N 2.93
La (0.2423, 0.2423, 0.0000)  1 N 2.27
La (0.5000, 0.0000, 0.5000)  2 Si 2.86, 4 N 2.93
La (0.7577, 0.7577, 0.0000)  1 N 2.27
Si (0.5000, 0.5000, 0.0000)  6 La 2.86-3.12
N (0.0549, 0.0549, 0.0000)  1 N 1.33
N (0.9451, 0.9451, 0.0000)  1 N 1.33

Calculated values
Offset from the most stable computed form = 0.3980 eV per atom
V = 197.6 Å³ per cell
D(E_F) = 4.38 states/eV/f.u.
Formation energy (no corrections) = -3.900 eV/f.u.
SG = I4/mmm

***

No. 2
This record from the Alexandria database describes an optimized crystal structure of La5Si3N. The functional is PBE-GGA.

a b c (Å): 9.2244 9.2244 9.2244
angles (deg): 128.11 128.11 76.44
With the nearest neighbours (Å) after each atom.
Element x y z (fractional)
La (0.0000, 0.0000, 0.0000)  6 Si 3.25-3.62
La (0.0130, 0.5130, 0.8268)  1 N 2.36
La (0.1862, 0.0130, 0.5000)  1 N 2.36
La (0.3138, 0.8138, 0.8268)  1 N 2.36
La (0.4870, 0.3138, 0.5000)  1 N 2.36
La (0.5000, 0.5000, 0.0000)  6 Si 3.25-3.62
La (0.5130, 0.6862, 0.5000)  1 N 2.36
La (0.6862, 0.1862, 0.1732)  1 N 2.36
La (0.8138, 0.9870, 0.5000)  1 N 2.36
La (0.9870, 0.4870, 0.1732)  1 N 2.36
Si (0.1140, 0.3860, 0.5000)  1 Si 2.60
Si (0.2500, 0.2500, 0.0000)  10 La 3.35-3.62
Si (0.3860, 0.8860, 0.2719)  1 Si 2.60
Si (0.6140, 0.1140, 0.7281)  1 Si 2.60
Si (0.7500, 0.7500, 0.0000)  10 La 3.35-3.62
Si (0.8860, 0.6140, 0.5000)  1 Si 2.60
N (0.2500, 0.7500, 0.5000)  4 La 2.36
N (0.7500, 0.2500, 0.5000)  4 La 2.36

Calculated values
V = 472.1 Å³ per cell
D(E_F) = 8.33 states/eV/f.u.
Formation energy (no corrections) = -7.243 eV/f.u.
SG = I4/mcm

***

No. 3
This record from the Alexandria database describes an optimized crystal structure of LaSiN. The functional is PBE-GGA.

a b c (Å): 3.8766 4.0500 6.9938
angles (deg): 90.00 106.13 90.00
With the nearest neighbours (Å) after each atom.
Element x y z (fractional)
La (0.1488, 0.2500, 0.2995)  1 N 2.45
La (0.8512, 0.7500, 0.7005)  1 N 2.45
Si (0.4678, 0.2500, 0.9229)  1 N 1.74
Si (0.5322, 0.7500, 0.0771)  1 N 1.74
N (0.3307, 0.2500, 0.6641)  1 Si 1.74
N (0.6693, 0.7500, 0.3359)  1 Si 1.74

Calculated values
V = 105.5 Å³ per cell
D(E_F) = 0.85 states/eV/f.u.
Formation energy (no corrections) = -3.065 eV/f.u.
SG = P2_1/m

***

No. 4
This record from the Alexandria database describes an optimized crystal structure of LaSiN2. The functional is PBE-GGA.

a b c (Å): 6.0849 6.0849 6.0849
angles (deg): 37.71 37.71 37.71
With the nearest neighbours (Å) after each atom.
Element x y z (fractional)
La (0.0000, 0.0000, 0.0000)  6 N 2.56
Si (0.5000, 0.5000, 0.5000)  2 N 1.65
N (0.4026, 0.4026, 0.4026)  1 Si 1.65
N (0.5974, 0.5974, 0.5974)  1 Si 1.65

Calculated values
V = 75.6 Å³ per cell
D(E_F) = 1.57 states/eV/f.u.
Formation energy (no corrections) = -2.839 eV/f.u.
SG = R-3m

***

No. 5
This record from the Alexandria database describes an optimized crystal structure of LaSi2N3. The functional is PBE-GGA.

a b c (Å): 5.2884 6.4327 6.5067
angles (deg): 75.94 70.49 76.11
With the nearest neighbours (Å) after each atom.
Element x y z (fractional)
La (0.2381, 0.1776, 0.2233)  5 N 2.50-2.68
La (0.7619, 0.8224, 0.7767)  5 N 2.50-2.68
Si (0.1032, 0.3320, 0.7005)  2 N 1.77-1.80
Si (0.3990, 0.6687, 0.3806)  4 N 1.73-1.82
Si (0.6010, 0.3313, 0.6194)  4 N 1.73-1.82
Si (0.8968, 0.6680, 0.2995)  2 N 1.77-1.80
N (0.0795, 0.8152, 0.3799)  2 Si 1.73-1.77
N (0.3692, 0.1750, 0.8179)  2 Si 1.76-1.80
N (0.4199, 0.3806, 0.4137)  2 Si 1.79-1.82
N (0.5801, 0.6194, 0.5863)  2 Si 1.79-1.82
N (0.6308, 0.8250, 0.1821)  2 Si 1.76-1.80
N (0.9205, 0.1848, 0.6201)  2 Si 1.73-1.77

Calculated values
V = 199.3 Å³ per cell
Formation energy (no corrections) = -5.464 eV/f.u.
SG = P-1

***

No. 6
This record from the Alexandria database describes an optimized crystal structure of La5Si2N. The functional is PBE-GGA.

a b c (Å): 6.9589 6.9589 13.3456
angles (deg): 90.00 90.00 129.71
With the nearest neighbours (Å) after each atom.
Element x y z (fractional)
La (0.0564, 0.9436, 0.6264)  1 N 2.50
La (0.0564, 0.9436, 0.8736)  1 N 2.50
La (0.3032, 0.6968, 0.2500)  2 Si 2.90, 2 N 2.96
La (0.3347, 0.6653, 0.6045)  1 N 2.54
La (0.3347, 0.6653, 0.8955)  1 N 2.54
La (0.6653, 0.3347, 0.1045)  1 N 2.54
La (0.6653, 0.3347, 0.3955)  1 N 2.54
La (0.6968, 0.3032, 0.7500)  2 Si 2.90, 2 N 2.96
La (0.9436, 0.0564, 0.1264)  1 N 2.50
La (0.9436, 0.0564, 0.3736)  1 N 2.50
Si (0.1765, 0.8235, 0.0689)  6 La 2.90-3.05
Si (0.1765, 0.8235, 0.4311)  6 La 2.90-3.05
Si (0.8235, 0.1765, 0.5689)  6 La 2.90-3.05
Si (0.8235, 0.1765, 0.9311)  6 La 2.90-3.05
N (0.2051, 0.7949, 0.7500)  4 La 2.50-2.54
N (0.7949, 0.2051, 0.2500)  4 La 2.50-2.54

Calculated values
V = 497.2 Å³ per cell
D(E_F) = 6.80 states/eV/f.u.
Formation energy (no corrections) = -4.083 eV/f.u.
SG = Cmcm

***

No. 7
This record from the Alexandria database describes an optimized crystal structure of LaSiN3. The functional is PBE-GGA.

a b c (Å): 3.7559 3.7559 3.7559
angles (deg): 90.00 90.00 90.00
With the nearest neighbours (Å) after each atom.
Element x y z (fractional)
La (0.0000, 0.0000, 0.0000)  12 N 2.66
Si (0.5000, 0.5000, 0.5000)  6 N 1.88
N (0.0000, 0.5000, 0.5000)  2 Si 1.88
N (0.5000, 0.0000, 0.5000)  2 Si 1.88
N (0.5000, 0.5000, 0.0000)  2 Si 1.88

Calculated values
V = 53.0 Å³ per cell
D(E_F) = 2.74 states/eV/f.u.
Formation energy (no corrections) = -3.101 eV/f.u.
SG = Pm-3m

***

No. 8
This record from the Alexandria database describes an optimized crystal structure of LaSiN3. The functional is PBE-GGA.

a b c (Å): 4.3069 4.3069 4.3069
angles (deg): 90.00 90.00 90.00
With the nearest neighbours (Å) after each atom.
Element x y z (fractional)
La (0.0000, 0.0000, 0.0000)  6 N 2.15
Si (0.5000, 0.5000, 0.5000)  12 N 3.05
N (0.0000, 0.0000, 0.5000)  2 La 2.15
N (0.0000, 0.5000, 0.0000)  2 La 2.15
N (0.5000, 0.0000, 0.0000)  2 La 2.15

Calculated values
V = 79.9 Å³ per cell
D(E_F) = 4.26 states/eV/f.u.
Formation energy (no corrections) = 8.444 eV/f.u.
SG = Pm-3m

***

No. 9
This record from the Alexandria database describes an optimized crystal structure of LaSm2SiN4. The functional is PBE-GGA.

a b c (Å): 6.1392 6.1392 11.8940
angles (deg): 90.00 90.00 147.09
With the nearest neighbours (Å) after each atom.
Element x y z (fractional)
La (0.0895, 0.9105, 0.7500)  6 N 2.78-2.81
La (0.9105, 0.0895, 0.2500)  6 N 2.78-2.81
Sm (0.3679, 0.6321, 0.5428)  6 N 2.39-2.61
Sm (0.3679, 0.6321, 0.9572)  6 N 2.39-2.61
Sm (0.6321, 0.3679, 0.0428)  6 N 2.39-2.61
Sm (0.6321, 0.3679, 0.4572)  6 N 2.39-2.61
Si (0.1799, 0.8201, 0.2500)  2 N 1.74
Si (0.8201, 0.1799, 0.7500)  2 N 1.74
N (0.0000, 0.0000, 0.0000)  4 Sm 2.39
N (0.0000, 0.0000, 0.5000)  4 Sm 2.39
N (0.2691, 0.7309, 0.1334)  1 Si 1.74
N (0.2691, 0.7309, 0.3666)  1 Si 1.74
N (0.4017, 0.5983, 0.7500)  2 Si 1.99
N (0.5983, 0.4017, 0.2500)  2 Si 1.99
N (0.7309, 0.2691, 0.6334)  1 Si 1.74
N (0.7309, 0.2691, 0.8666)  1 Si 1.74

Calculated values
V = 243.5 Å³ per cell
D(E_F) = 1.44 states/eV/f.u.
Formation energy (no corrections) = -9.948 eV/f.u.
SG = Cmcm

***

No. 10
This record from the Alexandria database describes an optimized crystal structure of LaSiSn2N. The functional is PBE-GGA.

a b c (Å): 6.1462 6.1462 5.5452
angles (deg): 90.00 90.00 90.00
With the nearest neighbours (Å) after each atom.
Element x y z (fractional)
La (0.0000, 0.0000, 0.0000)  2 Si 2.77, 4 Sn 3.07
Si (0.0000, 0.0000, 0.5000)  2 La 2.77
Sn (0.0000, 0.5000, 0.0000)  2 La 3.07
Sn (0.5000, 0.0000, 0.0000)  2 La 3.07
N (0.5000, 0.5000, 0.5000)  8 Sn 4.14, 4 Si 4.35

Calculated values
V = 209.5 Å³ per cell
D(E_F) = 4.09 states/eV/f.u.
Formation energy (no corrections) = 9.118 eV/f.u.
SG = P4/mmm